Entry 1:
# Fe2CoSi | Alexandria via LeMat-Bulk | GGA-PBEsol | optimized geometry
# - Total moment: 4.83 μB per cell
# - Formation energy without anion corrections: -0.32 eV per atom
data_Fe2CoSi
_cell_length_a 3.4026
_cell_length_b 3.4026
_cell_length_c 3.6856
_cell_angle_alpha 90.00
_cell_angle_beta 90.00
_cell_angle_gamma 90.00
_space_group_name_H-M_alt 'P 4/m m m'
_space_group_IT_number 123
_space_group_name_Hall '-P 4 2'
loop_
_atom_site_label
_atom_site_fract_x
_atom_site_fract_y
_atom_site_fract_z
Fe1 0.0000 0.5000 0.0000
Co1 0.0000 0.0000 0.5000
Si1 0.5000 0.5000 0.5000

=====

Entry 2:
# SrTcCl2 | Alexandria via LeMat-Bulk | GGA-PBEsol | optimized geometry
# - Total moment: 5.37 μB per cell
# - Formation energy without anion corrections: -0.45 eV per atom
data_SrTcCl2
_cell_length_a 9.6576
_cell_length_b 3.5524
_cell_length_c 5.5993
_cell_angle_alpha 90.00
_cell_angle_beta 91.46
_cell_angle_gamma 90.00
_space_group_name_H-M_alt 'C 1 2/m 1'
_space_group_IT_number 12
loop_
_space_group_symop_operation_xyz
'x,y,z'
'-x,-y,-z'
'-x,y,-z'
'x,-y,z'
'x+1/2,y+1/2,z'
'-x+1/2,-y+1/2,-z'
'-x+1/2,y+1/2,-z'
'x+1/2,-y+1/2,z'
loop_
_atom_site_label
_atom_site_fract_x
_atom_site_fract_y
_atom_site_fract_z
Sr1 0.0000 0.0000 0.0000
Tc1 0.0000 0.5000 0.5000
Cl1 0.1933 0.5000 0.7570

=====

Entry 3:
# Ba3DyB9O18 | Alexandria via LeMat-Bulk | GGA-PBEsol | optimized geometry
# - Total moment: 0.00 μB per cell
# - Formation energy without anion corrections: -2.73 eV per atom
data_Ba3DyB9O18
_cell_length_a 7.2059
_cell_length_b 7.2059
_cell_length_c 16.7076
_cell_angle_alpha 90.00
_cell_angle_beta 90.00
_cell_angle_gamma 120.00
_space_group_name_H-M_alt 'P 63/m'
_space_group_IT_number 176
_space_group_name_Hall '-P 6c'
loop_
_atom_site_label
_atom_site_fract_x
_atom_site_fract_y
_atom_site_fract_z
Ba1 0.0000 0.0000 0.2500
Ba2 0.3333 0.6667 0.1295
Dy1 0.0000 0.0000 0.0000
B1 0.1155 0.6209 0.7500
B2 0.1639 0.4484 0.5833
O1 0.0020 0.2472 0.5833
O2 0.0838 0.4149 0.2500
O3 0.1221 0.6197 0.5824
O4 0.1667 0.4565 0.7500